No. 1
Compound: Tb3GePt4
Source: OQMD via LeMat-Bulk
Functional: PBE-GGA
Structure: relaxed

```
Tb3GePt4
1.0
5.684 0.000 0.000
0.000 4.228 0.000
-0.163 0.000 7.016
Tb Ge Pt
3 1 4
Direct
0.000 0.000 0.000
0.240 0.000 0.500
0.730 0.500 0.362
0.498 0.500 0.836
0.053 0.500 0.726
0.214 0.500 0.219
0.515 0.000 0.084
0.708 0.000 0.659
```

Values from the calculation:
SG ... Pm (6)
VASP energy ... -50.98 eV/cell
Crystal system ... monoclinic

No. 2
Compound: H6W
Source: OQMD via LeMat-Bulk
Functional: PBE-GGA
Structure: relaxed

```
H6W
1.0
4.860 -1.508 0.000
4.860 1.508 0.000
-2.677 0.000 5.379
H W
12 2
Direct
0.010 0.010 0.232
0.159 0.159 0.512
0.196 0.196 0.165
0.235 0.235 0.841
0.423 0.423 0.063
0.459 0.459 0.439
0.541 0.541 0.561
0.577 0.577 0.937
0.765 0.765 0.159
0.804 0.804 0.835
0.841 0.841 0.488
0.990 0.990 0.768
0.363 0.363 0.721
0.637 0.637 0.279
```

Values from the calculation:
E above lowest polymorph ... 0 meV per atom
SG ... C2/m (12)
Crystal system ... monoclinic

No. 3
Compound: HoScAl4Ni2
Source: OQMD via LeMat-Bulk
Functional: PBE-GGA
Structure: relaxed

```
HoScAl4Ni2
1.0
6.798 0.000 0.000
0.000 4.048 0.000
0.000 0.000 9.792
Ho Sc Al Ni
2 2 8 4
Direct
0.000 0.000 0.000
0.000 0.500 0.500
0.500 0.000 0.128
0.500 0.500 0.628
0.203 0.000 0.713
0.203 0.500 0.213
0.306 0.000 0.413
0.306 0.500 0.913
0.694 0.000 0.413
0.694 0.500 0.913
0.797 0.000 0.713
0.797 0.500 0.213
0.000 0.000 0.279
0.000 0.500 0.779
0.500 0.000 0.853
0.500 0.500 0.353
```

Values from the calculation:
SG ... Amm2 (38)
VASP energy ... -84.37 eV/cell
Crystal system ... orthorhombic

No. 4
Compound: LiNbCuTe2S
Source: OQMD via LeMat-Bulk
Functional: PBE-GGA
Structure: relaxed

```
LiNbCuTe2S
1.0
1.819 -7.020 0.000
1.819 7.020 0.000
0.000 0.000 9.800
Li Nb Cu Te S
2 2 2 4 2
Direct
0.205 0.795 0.750
0.795 0.205 0.250
0.500 0.500 0.000
0.500 0.500 0.500
0.022 0.978 0.250
0.978 0.022 0.750
0.150 0.850 0.061
0.150 0.850 0.439
0.850 0.150 0.561
0.850 0.150 0.939
0.425 0.575 0.250
0.575 0.425 0.750
```

Values from the calculation:
SG ... Cmcm (63)
VASP energy ... -58.19 eV/cell
Crystal system ... orthorhombic

No. 5
Compound: PmInAg
Source: OQMD via LeMat-Bulk
Functional: PBE-GGA
Structure: relaxed

```
PmInAg
1.0
4.944 0.000 0.000
-2.472 4.282 0.000
0.000 0.000 3.490
Pm In Ag
1 1 1
Direct
0.000 0.000 0.000
0.333 0.667 0.500
0.667 0.333 0.500
```

Values from the calculation:
E above lowest polymorph ... 0 meV per atom
SG ... P-6m2 (187)
Crystal system ... hexagonal

No. 6
Compound: NaNbF3
Source: OQMD via LeMat-Bulk
Functional: PBE-GGA
Structure: relaxed

```
NaNbF3
1.0
2.947 1.702 4.520
-2.947 1.702 4.520
0.000 -3.403 4.520
Na Nb F
2 2 6
Direct
0.135 0.135 0.135
0.865 0.865 0.865
0.357 0.357 0.357
0.643 0.643 0.643
0.036 0.750 0.440
0.250 0.560 0.964
0.440 0.036 0.750
0.560 0.964 0.250
0.750 0.440 0.036
0.964 0.250 0.560
```

Values from the calculation:
E above lowest polymorph ... 21 meV per atom
SG ... R-3 (148)
Crystal system ... trigonal

No. 7
Compound: PrMg
Source: OQMD via LeMat-Bulk
Functional: PBE-GGA
Structure: relaxed

```
PrMg
1.0
5.493 0.000 0.000
0.000 7.300 0.000
0.000 0.000 11.857
Pr Mg
8 8
Direct
0.250 0.007 0.094
0.250 0.250 0.359
0.250 0.250 0.807
0.250 0.493 0.094
0.750 0.507 0.906
0.750 0.750 0.193
0.750 0.750 0.641
0.750 0.993 0.906
0.250 0.508 0.587
0.250 0.750 0.367
0.250 0.750 0.821
0.250 0.992 0.587
0.750 0.008 0.413
0.750 0.250 0.179
0.750 0.250 0.633
0.750 0.492 0.413
```

Values from the calculation:
E above lowest polymorph ... 81 meV per atom
SG ... Pmmn (59)
Crystal system ... orthorhombic

No. 8
Compound: LaNbNO
Source: OQMD via LeMat-Bulk
Functional: PBE-GGA
Structure: relaxed

```
LaNbNO
1.0
4.538 0.000 0.000
0.000 4.538 0.000
0.000 0.000 5.899
La Nb N O
2 2 2 2
Direct
0.250 0.750 0.000
0.750 0.250 0.000
0.250 0.250 0.483
0.750 0.750 0.517
0.250 0.250 0.157
0.750 0.750 0.843
0.250 0.750 0.500
0.750 0.250 0.500
```

Values from the calculation:
E above lowest polymorph ... 503 meV per atom
SG ... P4/nmm (129)
Crystal system ... tetragonal

No. 9
Compound: Ba3HoN3
Source: OQMD via LeMat-Bulk
Functional: PBE-GGA
Structure: relaxed

```
Ba3HoN3
1.0
8.456 0.000 0.000
-4.228 7.323 0.000
0.000 0.000 5.815
Ba Ho N
6 2 6
Direct
0.083 0.342 0.250
0.260 0.917 0.250
0.342 0.260 0.750
0.658 0.740 0.250
0.740 0.083 0.750
0.917 0.658 0.750
0.333 0.667 0.750
0.667 0.333 0.250
0.108 0.380 0.750
0.272 0.892 0.750
0.380 0.272 0.250
0.620 0.728 0.750
0.728 0.108 0.250
0.892 0.620 0.250
```

Values from the calculation:
SG ... P6_3/m (176)
VASP energy ... -77.06 eV/cell
Crystal system ... hexagonal

No. 10
Compound: Pr3Mg3AgPdPt
Source: OQMD via LeMat-Bulk
Functional: PBE-GGA
Structure: relaxed

```
Pr3Mg3AgPdPt
1.0
7.722 0.000 0.000
-3.861 6.687 0.000
0.000 0.000 4.160
Pr Mg Ag Pd Pt
3 3 1 1 1
Direct
0.005 0.582 0.000
0.418 0.422 0.000
0.578 0.995 0.000
0.002 0.247 0.500
0.246 0.998 0.500
0.753 0.754 0.500
0.000 0.000 0.000
0.667 0.333 0.500
0.333 0.667 0.500
```

Values from the calculation:
SG ... P-6 (174)
VASP energy ... -38.47 eV/cell
Crystal system ... hexagonal

No. 11
Compound: LiCdNiB
Source: OQMD via LeMat-Bulk
Functional: PBE-GGA
Structure: relaxed

```
LiCdNiB
1.0
5.861 0.000 0.000
0.000 5.861 0.000
0.000 0.000 5.861
Li Cd Ni B
4 4 4 4
Direct
0.000 0.000 0.000
0.000 0.500 0.500
0.500 0.000 0.500
0.500 0.500 0.000
0.000 0.000 0.500
0.000 0.500 0.000
0.500 0.000 0.000
0.500 0.500 0.500
0.250 0.250 0.750
0.250 0.750 0.250
0.750 0.250 0.250
0.750 0.750 0.750
0.250 0.250 0.250
0.250 0.750 0.750
0.750 0.250 0.750
0.750 0.750 0.250
```

Values from the calculation:
E above lowest polymorph ... 154 meV per atom
SG ... F-43m (216)
Crystal system ... cubic

No. 12
Compound: NaNbAlCo
Source: OQMD via LeMat-Bulk
Functional: PBE-GGA
Structure: relaxed

```
NaNbAlCo
1.0
6.328 0.000 0.000
0.000 6.328 0.000
0.000 0.000 6.328
Na Nb Al Co
4 4 4 4
Direct
0.000 0.000 0.000
0.000 0.500 0.500
0.500 0.000 0.500
0.500 0.500 0.000
0.000 0.000 0.500
0.000 0.500 0.000
0.500 0.000 0.000
0.500 0.500 0.500
0.250 0.250 0.250
0.250 0.750 0.750
0.750 0.250 0.750
0.750 0.750 0.250
0.250 0.250 0.750
0.250 0.750 0.250
0.750 0.250 0.250
0.750 0.750 0.750
```

Values from the calculation:
E above lowest polymorph ... 169 meV per atom
SG ... F-43m (216)
Crystal system ... cubic

Copy entry 11 word for word.
Compound: LiCdNiB
Source: OQMD via LeMat-Bulk
Functional: PBE-GGA
Structure: relaxed

```
LiCdNiB
1.0
5.861 0.000 0.000
0.000 5.861 0.000
0.000 0.000 5.861
Li Cd Ni B
4 4 4 4
Direct
0.000 0.000 0.000
0.000 0.500 0.500
0.500 0.000 0.500
0.500 0.500 0.000
0.000 0.000 0.500
0.000 0.500 0.000
0.500 0.000 0.000
0.500 0.500 0.500
0.250 0.250 0.750
0.250 0.750 0.250
0.750 0.250 0.250
0.750 0.750 0.750
0.250 0.250 0.250
0.250 0.750 0.750
0.750 0.250 0.750
0.750 0.750 0.250
```

Values from the calculation:
E above lowest polymorph ... 154 meV per atom
SG ... F-43m (216)
Crystal system ... cubic